Below is a relaxed KCa crystal, with properties calculated at the PBE level.

M_tot   0.0 μB/cell
Energy relative to the elements   0.219 eV per atom

Geometry as CIF:
```
data_KCa
_cell_length_a 6.6991
_cell_length_b 11.6943
_cell_length_c 8.2511
_cell_angle_alpha 90.00
_cell_angle_beta 90.00
_cell_angle_gamma 90.00
_symmetry_space_group_name_H-M 'I m m 2'
_symmetry_Int_Tables_number 44
loop_
_symmetry_equiv_pos_as_xyz
'x,y,z'
'-x,-y,z'
'-x,y,z'
'x,-y,z'
'x+1/2,y+1/2,z+1/2'
'-x+1/2,-y+1/2,z+1/2'
'-x+1/2,y+1/2,z+1/2'
'x+1/2,-y+1/2,z+1/2'
loop_
_atom_site_label
_atom_site_type_symbol
_atom_site_fract_x
_atom_site_fract_y
_atom_site_fract_z
_atom_site_occupancy
K1 K 0.0000 0.0000 0.0000 1
K2 K 0.0000 0.3360 0.7466 1
Ca1 Ca 0.0000 0.0000 0.5150 1
Ca2 Ca 0.0000 0.3407 0.2378 1
```


Below is a relaxed Sr2HoAgSe4 crystal, with properties calculated at the PBE level.

Formation energy (no corrections)   -1572 meV per atom
M_tot   0.0 μB/cell

Geometry as CIF:
```
data_Sr2HoAgSe4
_cell_length_a 7.3443
_cell_length_b 4.2828
_cell_length_c 7.4645
_cell_angle_alpha 90.00
_cell_angle_beta 110.06
_cell_angle_gamma 90.00
_symmetry_space_group_name_H-M 'P 1 2/m 1'
_symmetry_Int_Tables_number 10
loop_
_symmetry_equiv_pos_as_xyz
'x,y,z'
'-x,-y,-z'
'-x,y,-z'
'x,-y,z'
loop_
_atom_site_label
_atom_site_type_symbol
_atom_site_fract_x
_atom_site_fract_y
_atom_site_fract_z
_atom_site_occupancy
Sr1 Sr 0.0000 0.0000 0.0000 1
Sr2 Sr 0.0000 0.5000 0.5000 1
Ho1 Ho 0.5000 0.0000 0.5000 1
Ag1 Ag 0.5000 0.5000 0.0000 1
Se1 Se 0.2687 0.5000 0.2669 1
Se2 Se 0.2749 0.0000 0.7502 1
```


Below is a relaxed DyZn12Ga6 crystal, with properties calculated at the PBE level.

M_tot   0.0 μB/cell
Energy relative to the elements   0.049 eV per atom

Geometry as CIF:
```
data_DyZn12Ga6
_cell_length_a 11.4802
_cell_length_b 11.4802
_cell_length_c 9.0235
_cell_angle_alpha 90.00
_cell_angle_beta 90.00
_cell_angle_gamma 120.00
_symmetry_space_group_name_H-M 'R -3 m'
_symmetry_Int_Tables_number 166
_symmetry_space_group_name_Hall '-R 3 2"'
loop_
_atom_site_label
_atom_site_type_symbol
_atom_site_fract_x
_atom_site_fract_y
_atom_site_fract_z
_atom_site_occupancy
Dy1 Dy 0.0000 0.0000 0.0000 1
Zn1 Zn 0.0000 0.3927 0.5000 1
Zn2 Zn 0.0792 0.1584 0.2883 1
Ga1 Ga 0.0532 0.5266 0.2313 1
```


Below is a relaxed DyCdAgGe crystal, with properties calculated at the PBE level.

M_tot   0.0 μB/cell
Energy relative to the elements   -0.305 eV per atom

Geometry as CIF:
```
data_DyCdAgGe
_cell_length_a 6.9858
_cell_length_b 6.9858
_cell_length_c 6.9858
_cell_angle_alpha 90.00
_cell_angle_beta 90.00
_cell_angle_gamma 90.00
_symmetry_space_group_name_H-M 'F -4 3 m'
_symmetry_Int_Tables_number 216
_symmetry_space_group_name_Hall 'F -4 2 3'
loop_
_atom_site_label
_atom_site_type_symbol
_atom_site_fract_x
_atom_site_fract_y
_atom_site_fract_z
_atom_site_occupancy
Dy1 Dy 0.0000 0.0000 0.0000 1
Cd1 Cd 0.0000 0.0000 0.5000 1
Ag1 Ag 0.2500 0.2500 0.2500 1
Ge1 Ge 0.2500 0.2500 0.7500 1
```


Below is a relaxed PuAlS4 crystal, with properties calculated at the PBE level.

Formation energy (no corrections)   -833 meV per atom
M_tot   6.6 μB/cell

Geometry as CIF:
```
data_PuAlS4
_cell_length_a 6.1687
_cell_length_b 6.1687
_cell_length_c 6.5387
_cell_angle_alpha 90.00
_cell_angle_beta 90.00
_cell_angle_gamma 90.00
_symmetry_space_group_name_H-M 'I -4'
_symmetry_Int_Tables_number 82
loop_
_symmetry_equiv_pos_as_xyz
'x,y,z'
'y,-x,-z'
'-x,-y,z'
'-y,x,-z'
'x+1/2,y+1/2,z+1/2'
'y+1/2,-x+1/2,-z+1/2'
'-x+1/2,-y+1/2,z+1/2'
'-y+1/2,x+1/2,-z+1/2'
loop_
_atom_site_label
_atom_site_type_symbol
_atom_site_fract_x
_atom_site_fract_y
_atom_site_fract_z
_atom_site_occupancy
Pu1 Pu 0.0000 0.0000 0.0000 1
Al1 Al 0.0000 0.5000 0.7500 1
S1 S 0.2084 0.2143 0.6476 1
```


Below is a relaxed Pr2Sm3Ho4 crystal, with properties calculated at the PBE level.

M_tot   0.0 μB/cell
Energy relative to the elements   0.094 eV per atom
Excess energy over the best structure of this formula in the dataset   0.673 eV/f.u.

Geometry as CIF:
```
data_Pr2Sm3Ho4
_cell_length_a 16.7031
_cell_length_b 11.7086
_cell_length_c 6.1089
_cell_angle_alpha 90.00
_cell_angle_beta 96.97
_cell_angle_gamma 90.00
_symmetry_space_group_name_H-M 'C 1 2/c 1'
_symmetry_Int_Tables_number 15
loop_
_symmetry_equiv_pos_as_xyz
'x,y,z'
'-x,-y,-z'
'-x,y,-z+1/2'
'x,-y,z+1/2'
'x+1/2,y+1/2,z'
'-x+1/2,-y+1/2,-z'
'-x+1/2,y+1/2,-z+1/2'
'x+1/2,-y+1/2,z+1/2'
loop_
_atom_site_label
_atom_site_type_symbol
_atom_site_fract_x
_atom_site_fract_y
_atom_site_fract_z
_atom_site_occupancy
Pr1 Pr 0.1077 0.1189 0.2802 1
Sm1 Sm 0.0000 0.1460 0.7500 1
Sm2 Sm 0.1633 0.3503 0.5889 1
Ho1 Ho 0.0605 0.3912 0.0432 1
Ho2 Ho 0.2332 0.1114 0.8676 1
```


Below is a relaxed PmDyAs crystal, with properties calculated at the PBE level.

M_tot   1.8 μB/cell
Energy relative to the elements   -0.724 eV per atom
Excess energy over the best structure of this formula in the dataset   0.379 eV/f.u.

Geometry as CIF:
```
data_PmDyAs
_cell_length_a 3.7550
_cell_length_b 3.7550
_cell_length_c 11.4584
_cell_angle_alpha 90.00
_cell_angle_beta 90.00
_cell_angle_gamma 90.00
_symmetry_space_group_name_H-M 'I 4 m m'
_symmetry_Int_Tables_number 107
_symmetry_space_group_name_Hall 'I 4 -2'
loop_
_atom_site_label
_atom_site_type_symbol
_atom_site_fract_x
_atom_site_fract_y
_atom_site_fract_z
_atom_site_occupancy
Pm1 Pm 0.0000 0.0000 0.0000 1
Dy1 Dy 0.0000 0.0000 0.7182 1
As1 As 0.0000 0.0000 0.3453 1
```


Below is a relaxed Li2PmSc3Se6 crystal, with properties calculated at the PBE level.

Formation energy (no corrections)   -1644 meV per atom
M_tot   0.0 μB/cell

Geometry as CIF:
```
data_Li2PmSc3Se6
_cell_length_a 6.7726
_cell_length_b 11.7308
_cell_length_c 6.9417
_cell_angle_alpha 90.00
_cell_angle_beta 109.10
_cell_angle_gamma 90.00
_symmetry_space_group_name_H-M 'C 1 2/m 1'
_symmetry_Int_Tables_number 12
loop_
_symmetry_equiv_pos_as_xyz
'x,y,z'
'-x,-y,-z'
'-x,y,-z'
'x,-y,z'
'x+1/2,y+1/2,z'
'-x+1/2,-y+1/2,-z'
'-x+1/2,y+1/2,-z'
'x+1/2,-y+1/2,z'
loop_
_atom_site_label
_atom_site_type_symbol
_atom_site_fract_x
_atom_site_fract_y
_atom_site_fract_z
_atom_site_occupancy
Li1 Li 0.0000 0.1686 0.0000 1
Pm1 Pm 0.0000 0.5000 0.0000 1
Sc1 Sc 0.0000 0.0000 0.5000 1
Sc2 Sc 0.0000 0.3359 0.5000 1
Se1 Se 0.2411 0.1723 0.7396 1
Se2 Se 0.2417 0.0000 0.2596 1
```